Material: ScTiV2O6
Method: DFT, GGA+U
State: relaxed

## Properties
As for the magnetization: 0.50 μB/atom. The calculation puts the final energy at -8.539 eV/atom.

Unit cell a=5.2079 b=5.2079 c=14.2017 alpha=90.00 beta=90.00 gamma=120.00
Space group R3 (No. 146, hexagonal axes)
Inequivalent atoms, fractional coordinates:
Sc 0.0000 0.0000 0.0000 x3
Ti 0.0000 0.0000 0.5015 x3
V 0.0000 0.0000 0.2054 x3
V 0.0000 0.0000 0.7040 x3
O 0.0052 0.6549 0.7738 x9
O 0.0066 0.2939 0.6054 x9


Material: ScTi2VO6
Method: DFT, GGA+U
State: relaxed

## Properties
As for the magnetization: 0.20 μB/atom. The calculation puts the final energy at -8.782 eV/atom. The density of states at the Fermi level comes out at 0.47 states/eV per atom.

Unit cell a=5.2114 b=5.2114 c=14.1144 alpha=90.00 beta=90.00 gamma=120.00
Space group R3 (No. 146, hexagonal axes)
Inequivalent atoms, fractional coordinates:
Sc 0.0000 0.0000 0.0000 x3
Ti 0.0000 0.0000 0.2071 x3
Ti 0.0000 0.0000 0.7111 x3
V 0.0000 0.0000 0.5078 x3
O 0.0403 0.3479 0.2757 x9
O 0.0479 0.6984 0.7742 x9